# 1
Entry from OQMD via LeMat-Bulk: a relaxed CsTbPbSe3 crystal (PBE).

Computed properties:
**Crystal system**: orthorhombic
**VASP energy**: -4.487 eV/atom
**Symmetry**: Cmcm

The structure in CIF format:
```
data_CsTbPbSe3
_space_group_name_H-M_alt 'P 1'
_space_group_IT_number 1
_cell_length_a 8.8234
_cell_length_b 8.8234
_cell_length_c 12.1614
_cell_angle_alpha 90.00
_cell_angle_beta 90.00
_cell_angle_gamma 152.36
loop_
_space_group_symop_operation_xyz
'x,y,z'
loop_
_atom_site_label
_atom_site_type_symbol
_atom_site_fract_x
_atom_site_fract_y
_atom_site_fract_z
_atom_site_occupancy
Pb1 Pb 0.9022 0.0978 0.7500 1
Pb2 Pb 0.0978 0.9022 0.2500 1
Cs1 Cs 0.8029 0.1971 0.2500 1
Cs2 Cs 0.1971 0.8029 0.7500 1
Tb1 Tb 0.5000 0.5000 0.5000 1
Tb2 Tb 0.5000 0.5000 0.0000 1
Se1 Se 0.1136 0.8864 0.4927 1
Se2 Se 0.4861 0.5139 0.2500 1
Se3 Se 0.1136 0.8864 0.0073 1
Se4 Se 0.8864 0.1136 0.5073 1
Se5 Se 0.5139 0.4861 0.7500 1
Se6 Se 0.8864 0.1136 0.9927 1
```

---

# 2
Entry from OQMD via LeMat-Bulk: a relaxed MgAlNiW crystal (PBE).

Computed properties:
**Crystal system**: cubic
**VASP energy**: -5.592 eV/atom
**Symmetry**: F-43m

The structure in CIF format:
```
data_MgAlNiW
_space_group_name_H-M_alt 'P 1'
_space_group_IT_number 1
_cell_length_a 4.3784
_cell_length_b 4.3784
_cell_length_c 4.3784
_cell_angle_alpha 60.00
_cell_angle_beta 60.00
_cell_angle_gamma 60.00
loop_
_space_group_symop_operation_xyz
'x,y,z'
loop_
_atom_site_label
_atom_site_type_symbol
_atom_site_fract_x
_atom_site_fract_y
_atom_site_fract_z
_atom_site_occupancy
Ni1 Ni 0.7500 0.7500 0.7500 1
W1 W 0.5000 0.5000 0.5000 1
Al1 Al 0.0000 0.0000 0.0000 1
Mg1 Mg 0.2500 0.2500 0.2500 1
```

---

# 3
Entry from OQMD via LeMat-Bulk: a relaxed PrTlHgS3 crystal (PBE).

Computed properties:
**Crystal system**: orthorhombic
**VASP energy**: -4.258 eV/atom
**Symmetry**: Cmcm
**Energy above the most stable polymorph in this dataset**: 2 meV/atom

The structure in CIF format:
```
data_PrTlHgS3
_space_group_name_H-M_alt 'P 1'
_space_group_IT_number 1
_cell_length_a 4.2517
_cell_length_b 11.0747
_cell_length_c 7.4316
_cell_angle_alpha 90.00
_cell_angle_beta 106.62
_cell_angle_gamma 90.00
loop_
_space_group_symop_operation_xyz
'x,y,z'
loop_
_atom_site_label
_atom_site_type_symbol
_atom_site_fract_x
_atom_site_fract_y
_atom_site_fract_z
_atom_site_occupancy
S1 S 0.0712 0.5000 0.1424 1
S2 S 0.3688 0.3027 0.7377 1
S3 S 0.3688 0.6973 0.7377 1
S4 S 0.9288 0.0000 0.8576 1
S5 S 0.6312 0.1973 0.2623 1
S6 S 0.6312 0.8027 0.2623 1
Hg1 Hg 0.5450 0.0000 0.0899 1
Hg2 Hg 0.4550 0.5000 0.9101 1
Pr1 Pr 0.0000 0.2500 0.0000 1
Pr2 Pr 0.0000 0.7500 0.0000 1
Tl1 Tl 0.7422 0.5000 0.4844 1
Tl2 Tl 0.2578 0.0000 0.5156 1
```

---

# 4
Entry from OQMD via LeMat-Bulk: a relaxed SmBOs crystal (PBE).

Computed properties:
**Crystal system**: cubic
**VASP energy**: -7.157 eV/atom
**Symmetry**: F-43m
**Energy above the most stable polymorph in this dataset**: 0 meV/atom

The structure in CIF format:
```
data_SmBOs
_space_group_name_H-M_alt 'P 1'
_space_group_IT_number 1
_cell_length_a 4.1711
_cell_length_b 4.1711
_cell_length_c 4.1711
_cell_angle_alpha 60.00
_cell_angle_beta 60.00
_cell_angle_gamma 60.00
loop_
_space_group_symop_operation_xyz
'x,y,z'
loop_
_atom_site_label
_atom_site_type_symbol
_atom_site_fract_x
_atom_site_fract_y
_atom_site_fract_z
_atom_site_occupancy
B1 B 0.0000 0.0000 0.0000 1
Sm1 Sm 0.7500 0.7500 0.7500 1
Os1 Os 0.2500 0.2500 0.2500 1
```